K4Ce3CdO8 | PBE | relaxed

Output
The raw formation energy comes out at -2.360 eV per atom.

Cell and atoms, written as CIF:
```
data_K4Ce3CdO8
_chemical_formula_sum 'K12 Ce9 Cd3 O24'
_cell_length_a 7.1842
_cell_length_b 7.1842
_cell_length_c 18.8218
_cell_angle_alpha 90.00
_cell_angle_beta 90.00
_cell_angle_gamma 120.00
_space_group_name_H-M_alt 'R -3 m'
_space_group_IT_number 166
_space_group_name_Hall '-R 3 2"'
loop_
_atom_site_label
_atom_site_type_symbol
_atom_site_fract_x
_atom_site_fract_y
_atom_site_fract_z
_atom_site_occupancy
K1 K 0.0000 0.0000 0.0000 1
K2 K 0.0000 0.5000 0.0000 1
Ce1 Ce 0.0000 0.5000 0.5000 1
Cd1 Cd 0.0000 0.0000 0.5000 1
O1 O 0.0000 0.0000 0.2299 1
O2 O 0.0142 0.5071 0.7693 1
```